(a)
This record from Alexandria describes a geometry-optimized Dy4OsPt structure. The functional is PBE.

POSCAR file:
```
Dy4OsPt
1.0
6.067 -0.451 -1.661
-2.764 6.915 -2.610
-0.432 -0.346 7.871
Dy Pt Os
8 2 2
direct
0.594 0.299 0.950
0.727 0.236 0.363
0.406 0.701 0.050
0.094 0.950 0.299
0.773 0.637 0.764
0.906 0.050 0.701
0.273 0.764 0.637
0.227 0.363 0.236
0.250 0.363 0.637
0.750 0.637 0.363
0.250 0.002 0.998
0.750 0.998 0.002
```


(b)
This record from Alexandria describes a geometry-optimized Dy4OsPt structure. The functional is PBE.

POSCAR file:
```
Dy4OsPt
1.0
-5.590 -2.382 -3.234
-2.534 -2.212 6.009
-3.246 6.029 0.851
Os Dy Pt
2 8 2
direct
0.500 0.500 0.000
0.000 0.000 0.000
0.673 0.167 0.839
0.327 0.833 0.161
0.340 0.334 0.326
0.160 0.834 0.674
0.840 0.166 0.326
0.173 0.333 0.839
0.827 0.667 0.161
0.660 0.666 0.674
0.500 0.000 0.500
0.000 0.500 0.500
```


Most stable structure - (a); separation to the second - 87 meV/atom.


(a)
This record from Alexandria describes a geometry-optimized DyPuOs structure. The functional is PBE.

POSCAR file:
```
DyPuOs
1.0
3.318 0.000 0.000
0.000 3.318 0.000
-1.659 -1.659 6.512
Dy Pu Os
1 1 1
direct
0.034 0.034 0.067
0.299 0.299 0.597
0.668 0.668 0.336
```


(b)
This record from Alexandria describes a geometry-optimized DyPuOs structure. The functional is PBE.

POSCAR file:
```
DyPuOs
1.0
-1.071 2.892 3.534
2.199 -4.852 4.638
4.543 4.779 -2.534
Pu Os Dy
3 3 3
direct
0.000 0.000 0.000
0.500 0.667 0.333
0.500 0.333 0.667
0.500 0.764 0.000
0.500 0.236 0.236
0.500 0.000 0.764
0.000 0.541 0.541
0.000 0.459 0.000
0.000 0.000 0.459
```


(c)
This record from Alexandria describes a geometry-optimized DyPuOs structure. The functional is PBE.

POSCAR file:
```
DyPuOs
1.0
-2.320 3.915 1.357
-4.668 -0.182 0.855
-1.616 0.381 4.450
Dy Os Pu
1 1 1
direct
0.500 0.500 0.500
0.250 0.250 0.250
0.000 0.000 0.000
```


Most stable structure - (a); separation to the second - 46 meV/atom.


(a)
This record from Alexandria describes a geometry-optimized DyUOsRu structure. The functional is PBE.

POSCAR file:
```
DyUOsRu
1.0
4.805 0.000 0.000
2.403 4.161 0.000
2.403 1.387 3.923
Dy U Os Ru
1 1 1 1
direct
0.000 0.000 0.000
0.500 0.500 0.500
0.250 0.250 0.250
0.750 0.750 0.750
```


(b)
This record from Alexandria describes a geometry-optimized DyUOsRu structure. The functional is PBE.

POSCAR file:
```
DyUOsRu
1.0
4.444 0.000 0.000
-2.222 3.846 -0.001
0.000 -2.559 4.965
Dy Ru U Os
1 1 1 1
direct
0.618 0.236 0.496
0.826 0.651 0.119
0.119 0.237 0.998
0.404 0.808 0.855
```


Most stable structure - (b); separation to the second - 98 meV/atom.


(a)
This record from Alexandria describes a geometry-optimized Dy4SbOs structure. The functional is PBE.

POSCAR file:
```
Dy4SbOs
1.0
5.386 0.000 -2.880
0.000 6.578 0.000
-1.273 0.000 9.971
Sb Dy Os
2 8 2
direct
0.351 0.250 0.044
0.649 0.750 0.956
0.725 0.250 0.879
0.897 0.499 0.289
0.515 0.250 0.407
0.897 0.001 0.289
0.103 0.999 0.711
0.275 0.750 0.121
0.103 0.501 0.711
0.485 0.750 0.593
0.736 0.750 0.437
0.264 0.250 0.563
```


(b)
This record from Alexandria describes a geometry-optimized Dy4SbOs structure. The functional is PBE.

POSCAR file:
```
Dy4SbOs
1.0
-3.669 0.494 -5.812
-0.261 -6.879 -0.420
-6.065 -0.026 4.189
Sb Dy Os
2 8 2
direct
0.000 0.000 0.000
0.500 0.500 0.000
0.261 0.251 0.279
0.239 0.249 0.721
0.739 0.251 0.721
0.761 0.751 0.279
0.239 0.751 0.721
0.739 0.749 0.721
0.761 0.249 0.279
0.261 0.749 0.279
0.000 0.500 0.500
0.500 0.000 0.500
```


Most stable structure - (a); separation to the second - 93 meV/atom.


(a)
This record from Alexandria describes a geometry-optimized DySc2Os structure. The functional is PBE.

POSCAR file:
```
DySc2Os
1.0
3.253 0.000 0.000
0.000 3.253 0.000
0.000 0.000 8.512
Sc Dy Os
2 1 1
direct
0.000 0.000 0.180
0.000 0.000 0.820
0.500 0.500 0.500
0.500 0.500 0.000
```


(b)
This record from Alexandria describes a geometry-optimized DySc2Os structure. The functional is PBE.

POSCAR file:
```
DySc2Os
1.0
3.911 0.001 0.000
-1.955 5.583 0.000
0.000 0.000 8.440
Sc Os Dy
4 2 2
direct
0.351 0.702 0.936
0.649 0.298 0.064
0.649 0.298 0.436
0.351 0.702 0.564
0.247 0.495 0.250
0.753 0.505 0.750
0.935 0.869 0.250
0.065 0.131 0.750
```


Most stable structure - (b); separation to the second - 35 meV/atom.


(a)
This record from Alexandria describes a geometry-optimized DyScTlOs structure. The functional is PBE.

POSCAR file:
```
DyScTlOs
1.0
3.316 0.000 0.000
0.000 3.316 0.000
0.000 0.000 8.043
Os Dy Sc Tl
1 1 1 1
direct
0.000 0.000 0.553
0.500 0.500 0.772
0.500 0.500 0.371
0.000 0.000 0.089
```


(b)
This record from Alexandria describes a geometry-optimized DyScTlOs structure. The functional is PBE.

POSCAR file:
```
DyScTlOs
1.0
4.934 0.000 0.000
2.467 4.273 0.000
2.467 1.424 4.029
Dy Sc Tl Os
1 1 1 1
direct
0.500 0.500 0.500
0.000 0.000 0.000
0.250 0.250 0.250
0.750 0.750 0.750
```


Most stable structure - (a); separation to the second - 204 meV/atom.